Entry 1:
! TaFe2Te, optimized geometry, DFT PBEsol; values from VASP
&SYSTEM
  ibrav = 0, nat = 4, ntyp = 3
/
ATOMIC_SPECIES
Fe 55.84 Fe.upf
Ta 180.95 Ta.upf
Te 127.60 Te.upf
CELL_PARAMETERS angstrom
3.303 0.000 0.000
0.000 4.185 0.000
0.000 0.000 4.185
ATOMIC_POSITIONS crystal
Fe 0.000 0.000 0.500
Fe 0.000 0.500 0.000
Ta 0.500 0.500 0.500
Te 0.500 0.000 0.000
! - ΔE_f (raw): 197.7 meV/atom
! - Crystal system: tetragonal
! - Mass density: 12.06 Mg/m³
! - Space group: P4/mmm (123)
! - DOS(E_F): 0.8236 states/eV per atom


Entry 2:
! Ba6Nb2IrCl2O12, optimized geometry, DFT PBEsol; values from VASP
&SYSTEM
  ibrav = 0, nat = 23, ntyp = 5
/
ATOMIC_SPECIES
Ba 137.33 Ba.upf
Nb 92.91 Nb.upf
Ir 192.22 Ir.upf
Cl 35.45 Cl.upf
O 16.00 O.upf
CELL_PARAMETERS angstrom
-0.025 -4.150 4.243
4.109 -0.157 -4.280
8.966 8.433 8.299
ATOMIC_POSITIONS crystal
Ba 0.667 0.333 0.634
Ba 0.667 0.333 0.209
Ba 0.333 0.667 0.366
Ba 0.333 0.667 0.072
Ba 0.667 0.333 0.928
Ba 0.333 0.667 0.791
Nb 0.000 0.000 0.185
Nb 0.000 0.000 0.815
Ir 0.000 0.000 0.000
Cl 0.333 0.667 0.581
Cl 0.667 0.333 0.419
O 0.844 0.156 0.082
O 0.671 0.836 0.242
O 0.836 0.164 0.758
O 0.164 0.836 0.242
O 0.164 0.329 0.242
O 0.156 0.844 0.918
O 0.836 0.671 0.758
O 0.689 0.844 0.918
O 0.156 0.311 0.918
O 0.311 0.156 0.082
O 0.329 0.164 0.758
O 0.844 0.689 0.082
! - ΔE_f (raw): -2521.5 meV/atom
! - Crystal system: trigonal
! - Mass density: 5.37 Mg/m³
! - Space group: P-3m1 (164)
! - DOS(E_F): 0.2353 states/eV per atom


Entry 3:
! SnBSb2, optimized geometry, DFT PBEsol; values from VASP
&SYSTEM
  ibrav = 0, nat = 8, ntyp = 3
/
ATOMIC_SPECIES
Sb 121.76 Sb.upf
B 10.81 B.upf
Sn 118.71 Sn.upf
CELL_PARAMETERS angstrom
6.416 0.000 0.000
-3.208 5.772 -0.136
0.000 -3.438 5.417
ATOMIC_POSITIONS crystal
Sb 0.457 0.250 0.375
Sb 0.793 0.250 0.875
Sb 0.125 0.750 0.543
Sb 0.625 0.750 0.207
B 0.750 0.500 0.250
B 0.500 0.000 0.500
Sn 0.250 0.500 0.750
Sn 0.000 0.000 0.000
! - ΔE to the lowest computed polymorph: 0 kJ/mol of formula units
! - ΔE_f (raw): 397.4 meV/atom
! - Crystal system: tetragonal
! - Mass density: 6.27 Mg/m³
! - Space group: I-42d (122)
! - DOS(E_F): 0.3413 states/eV per atom